No. 1
DFT (GGA-PBE) results for crystalline AcAl2ZnAu4 at its relaxed geometry.

Results
* ρ: 11.54 g/cm³
* uncorrected energy: -3.7660 eV per atom

a = 4.4654 Å, b = 4.4654 Å, c = 28.3525 Å
α = 90.00°, β = 90.00°, γ = 120.00°
Closest atoms and distances in Å follow each position.
Space group R-3m (No. 166, hexagonal axes)
Inequivalent atoms, fractional coordinates:
Ac  0.0000  0.0000  0.0000 x3  6 Au 3.25
Al  0.0000  0.0000  0.2368 x6  7 Au 2.69-2.87
Zn  0.0000  0.0000  0.5000 x3  8 Au 2.73-2.75
Au  0.0000  0.0000  0.1355 x6  3 Zn 2.73, 4 Al 2.81-2.87
Au  0.0000  0.0000  0.4030 x6  3 Al 2.69, 1 Zn 2.75

=====

No. 2
DFT (GGA-PBE) results for crystalline TiSb2H at its relaxed geometry.

Results
* ρ: 6.37 g/cm³
* energy above the lowest structure with this stoichiometry: 0.97 eV/f.u.

a = 6.7304 Å, b = 6.7304 Å, c = 6.7304 Å
α = 90.00°, β = 90.00°, γ = 90.00°
Closest atoms and distances in Å follow each position.
Space group Fm-3m (No. 225)
Inequivalent atoms, fractional coordinates:
Ti  0.0000  0.0000  0.0000 x4  8 Sb 2.91
Sb  0.2500  0.2500  0.2500 x8  4 H 2.91, 4 Ti 2.91
H  0.0000  0.0000  0.5000 x4  8 Sb 2.91

=====

No. 3
DFT (GGA-PBE) results for crystalline Ti2MnRh at its relaxed geometry.

Results
* ρ: 6.51 g/cm³
* energy above the lowest structure with this stoichiometry: 3.21 eV/f.u.

a = 3.7999 Å, b = 3.7999 Å, c = 17.9073 Å
α = 90.00°, β = 90.00°, γ = 90.00°
Closest atoms and distances in Å follow each position.
Space group I-42d (No. 122)
Inequivalent atoms, fractional coordinates:
Ti  0.2487  0.2500  0.1250 x8  2 Mn 2.61, 2 Rh 2.61, 4 Ti 2.68-2.69
Mn  0.0000  0.0000  0.0000 x4  4 Ti 2.61, 4 Rh 2.69
Rh  0.0000  0.0000  0.5000 x4  4 Ti 2.61, 4 Mn 2.69

=====

No. 4
DFT (GGA-PBE) results for crystalline KRbSi2O at its relaxed geometry.

Results
* ρ: 1.89 g/cm³
* uncorrected energy: -2.3185 eV per atom

a = 5.9898 Å, b = 5.9898 Å, c = 4.8230 Å
α = 90.00°, β = 90.00°, γ = 90.00°
Closest atoms and distances in Å follow each position.
Space group P4/mmm (No. 123)
Inequivalent atoms, fractional coordinates:
K  0.0000  0.0000  0.0000 x1  8 Si 3.85, 4 O 4.24
Rb  0.5000  0.5000  0.5000 x1  2 O 2.41
Si  0.0000  0.5000  0.5000 x2  2 Rb 2.99
O  0.5000  0.5000  0.0000 x1  2 Rb 2.41